# 1
# SCAN RbSi2Pd2, single point on PBEsol structure
# Theoretical density (g/cm3): 5.38
# Magnetic moment (μB/f.u.): 0.000
# Formation energy (no corrections) (meV/atom): -280
data_RbSi2Pd2
_symmetry_space_group_name_H-M 'I 4/m m m'
_symmetry_Int_Tables_number 139
_symmetry_space_group_name_Hall '-I 4 2'
_cell_length_a 4.2036
_cell_length_b 4.2036
_cell_length_c 12.3725
_cell_angle_alpha 90.00
_cell_angle_beta 90.00
_cell_angle_gamma 90.00
loop_
_atom_site_label
_atom_site_type_symbol
_atom_site_fract_x
_atom_site_fract_y
_atom_site_fract_z
Rb1 Rb 0.0000 0.0000 0.0000
Si1 Si 0.0000 0.5000 0.2500
Pd1 Pd 0.0000 0.0000 0.3429

# 2
# SCAN Ag3Rh2, single point on PBEsol structure
# Theoretical density (g/cm3): 11.47
# Magnetic moment (μB/f.u.): 0.007
# Energy of formation (meV/atom): 164
data_Ag3Rh2
_symmetry_space_group_name_H-M 'I m m m'
_symmetry_Int_Tables_number 71
_symmetry_space_group_name_Hall '-I 2 2'
_cell_length_a 2.7968
_cell_length_b 3.7685
_cell_length_c 14.5395
_cell_angle_alpha 90.00
_cell_angle_beta 90.00
_cell_angle_gamma 90.00
loop_
_atom_site_label
_atom_site_type_symbol
_atom_site_fract_x
_atom_site_fract_y
_atom_site_fract_z
Ag1 Ag 0.0000 0.0000 0.0000
Ag2 Ag 0.0000 0.0000 0.3976
Rh1 Rh 0.0000 0.0000 0.2112

# 3
# SCAN LaMn4Cu3O12, single point on PBEsol structure
# Theoretical density (g/cm3): 6.51
# Magnetic moment (μB/f.u.): 10.015
# Formation energy (no corrections) (meV/atom): -1998
data_LaMn4Cu3O12
_symmetry_space_group_name_H-M 'I m -3'
_symmetry_Int_Tables_number 204
_symmetry_space_group_name_Hall '-I 2 2 3'
_cell_length_a 7.2329
_cell_length_b 7.2329
_cell_length_c 7.2329
_cell_angle_alpha 90.00
_cell_angle_beta 90.00
_cell_angle_gamma 90.00
loop_
_atom_site_label
_atom_site_type_symbol
_atom_site_fract_x
_atom_site_fract_y
_atom_site_fract_z
La1 La 0.0000 0.0000 0.0000
Mn1 Mn 0.2500 0.2500 0.2500
Cu1 Cu 0.0000 0.0000 0.5000
O1 O 0.0000 0.3031 0.1810

# 4
# SCAN CsMg2P2, single point on PBEsol structure
# Theoretical density (g/cm3): 3.13
# Magnetic moment (μB/f.u.): 0.001
# Energy of formation (meV/atom): -603
data_CsMg2P2
_symmetry_space_group_name_H-M 'I 4/m m m'
_symmetry_Int_Tables_number 139
_symmetry_space_group_name_Hall '-I 4 2'
_cell_length_a 4.4640
_cell_length_b 4.4640
_cell_length_c 12.9668
_cell_angle_alpha 90.00
_cell_angle_beta 90.00
_cell_angle_gamma 90.00
loop_
_atom_site_label
_atom_site_type_symbol
_atom_site_fract_x
_atom_site_fract_y
_atom_site_fract_z
Cs1 Cs 0.0000 0.0000 0.0000
Mg1 Mg 0.0000 0.5000 0.2500
P1 P 0.0000 0.0000 0.3526

# 5
# SCAN Be3CoAu, single point on PBEsol structure
# Theoretical density (g/cm3): 8.02
# Magnetic moment (μB/f.u.): 0.000
# Energy of formation (meV/atom): 466
data_Be3CoAu
_symmetry_space_group_name_H-M 'P m -3 m'
_symmetry_Int_Tables_number 221
_symmetry_space_group_name_Hall '-P 4 2 3'
_cell_length_a 3.8837
_cell_length_b 3.8837
_cell_length_c 3.8837
_cell_angle_alpha 90.00
_cell_angle_beta 90.00
_cell_angle_gamma 90.00
loop_
_atom_site_label
_atom_site_type_symbol
_atom_site_fract_x
_atom_site_fract_y
_atom_site_fract_z
Be1 Be 0.0000 0.0000 0.5000
Co1 Co 0.0000 0.0000 0.0000
Au1 Au 0.5000 0.5000 0.5000

# 6
# SCAN SiSnRhO2, single point on PBEsol structure
# Theoretical density (g/cm3): 5.15
# Magnetic moment (μB/f.u.): 0.632
# Formation energy (no corrections) (meV/atom): 85
data_SiSnRhO2
_symmetry_space_group_name_H-M 'P 4/m m m'
_symmetry_Int_Tables_number 123
_symmetry_space_group_name_Hall '-P 4 2'
_cell_length_a 3.7446
_cell_length_b 3.7446
_cell_length_c 6.4826
_cell_angle_alpha 90.00
_cell_angle_beta 90.00
_cell_angle_gamma 90.00
loop_
_atom_site_label
_atom_site_type_symbol
_atom_site_fract_x
_atom_site_fract_y
_atom_site_fract_z
Si1 Si 0.0000 0.0000 0.0000
Sn1 Sn 0.0000 0.0000 0.5000
Rh1 Rh 0.5000 0.5000 0.0000
O1 O 0.0000 0.5000 0.5000

Final energy / eV for the cell shown: -215.44 -321.65 -552.90 -143.14 -97.19 -91.75